PBE K2MgAl, relaxed; energy of formation from the pure elements = 0.30 eV/atom; N(E_F) = 1.278 states/eV per atom; V = 33.2 Å³/atom; calculated total energy = -6.33 eV per cell
1.0
-2.877 2.877 4.016
2.877 -2.877 4.016
2.877 2.877 -4.016
K Mg Al
2 1 1
direct
0.000 0.000 0.000
0.750 0.250 0.500
0.500 0.500 0.000
0.250 0.750 0.500

***

PBE KMgAl2, relaxed; energy of formation from the pure elements = 0.28 eV/atom; N(E_F) = 0.261 states/eV per atom; V = 23.9 Å³/atom; calculated total energy = -9.07 eV per cell
1.0
1.608 0.928 10.667
-1.608 0.928 10.667
0.000 -1.856 10.667
K Mg Al
1 1 2
direct
0.000 0.000 0.000
0.500 0.500 0.500
0.240 0.240 0.240
0.760 0.760 0.760

***

PBE K2MgAl, relaxed; energy of formation from the pure elements = 0.39 eV/atom; N(E_F) = 0.665 states/eV per atom; V = 36.4 Å³/atom; calculated total energy = -5.98 eV per cell
1.0
2.443 -2.631 0.000
2.443 2.631 0.000
0.000 0.000 11.336
K Mg Al
2 1 1
direct
0.000 0.000 0.233
0.000 0.000 0.767
0.500 0.500 0.500
0.500 0.500 0.000

***

PBE KMgAl3, relaxed; energy of formation from the pure elements = 0.62 eV/atom; N(E_F) = 0.524 states/eV per atom; distance to the lowest polymorph of the same formula = 0 meV per atom; V = 30.4 Å³/atom; calculated total energy = -10.81 eV per cell
1.0
5.338 0.000 0.000
0.000 5.338 0.000
0.000 0.000 5.338
K Mg Al
1 1 3
direct
0.000 0.000 0.000
0.500 0.500 0.500
0.000 0.500 0.500
0.500 0.000 0.500
0.500 0.500 0.000

***

PBE KMgAl2, relaxed; energy of formation from the pure elements = 0.20 eV/atom; N(E_F) = 0.370 states/eV per atom; V = 27.3 Å³/atom; calculated total energy = -9.39 eV per cell
1.0
4.375 -1.529 0.000
4.375 1.529 0.000
-0.670 0.000 8.153
K Mg Al
1 1 2
direct
0.000 0.000 0.000
0.230 0.230 0.651
0.490 0.490 0.450
0.756 0.756 0.314

***

PBE K2MgAl, relaxed; energy of formation from the pure elements = 0.20 eV/atom; N(E_F) = 0.445 states/eV per atom; V = 40.1 Å³/atom; calculated total energy = -6.72 eV per cell
1.0
3.942 0.000 0.000
0.000 3.942 0.000
0.000 0.000 10.314
K Mg Al
2 1 1
direct
0.000 0.000 0.000
0.500 0.500 0.389
0.000 0.000 0.656
0.500 0.500 0.748

***

> Number 3 is which compound?

K2MgAl

***

> What is the N(E_F) in the first record?

1.278 states/eV per atom

***

> Look up the N(E_F) of the sixth one.

0.445 states/eV per atom

***

Copy entry 1 word for word.
PBE K2MgAl, relaxed; energy of formation from the pure elements = 0.30 eV/atom; N(E_F) = 1.278 states/eV per atom; V = 33.2 Å³/atom; calculated total energy = -6.33 eV per cell
1.0
-2.877 2.877 4.016
2.877 -2.877 4.016
2.877 2.877 -4.016
K Mg Al
2 1 1
direct
0.000 0.000 0.000
0.750 0.250 0.500
0.500 0.500 0.000
0.250 0.750 0.500